Entry 1:
Ba2LaTa3O12: relaxed, PBE-GGA.

POSCAR file:
```
Ba2LaTa3O12
1.0
-5.651 -1.702 -4.060
-4.645 -4.614 2.907
-6.269 2.781 2.068
Ta O Ba La
3 12 2 1
direct
0.000 0.500 0.000
0.500 0.000 0.000
0.000 0.000 0.500
0.590 0.129 0.129
0.722 0.722 0.096
0.129 0.590 0.129
0.278 0.904 0.278
0.278 0.278 0.904
0.871 0.410 0.871
0.129 0.129 0.590
0.096 0.722 0.722
0.904 0.278 0.278
0.871 0.871 0.410
0.410 0.871 0.871
0.722 0.096 0.722
0.380 0.380 0.380
0.620 0.620 0.620
0.000 0.000 0.000
```

Computed properties:
Calculated volume   284 Å³/f.u.
Formation energy from raw total energies   -2751 meV per atom

=====

Entry 2:
Ba2LaTcO6: relaxed, PBE-GGA.

POSCAR file:
```
Ba2LaTcO6
1.0
-4.264 -2.478 -3.443
1.529 -3.742 -4.454
-1.576 -10.791 4.465
Ba O Tc La
4 12 2 2
direct
0.303 0.303 0.092
0.858 0.858 0.427
0.697 0.697 0.908
0.142 0.142 0.573
0.157 0.619 0.604
0.284 0.808 0.101
0.192 0.192 0.899
0.808 0.284 0.101
0.381 0.843 0.396
0.619 0.157 0.604
0.808 0.808 0.101
0.716 0.192 0.899
0.619 0.619 0.604
0.381 0.381 0.396
0.843 0.381 0.396
0.192 0.716 0.899
0.000 0.000 0.000
0.500 0.500 0.500
0.410 0.410 0.769
0.590 0.590 0.231
```

Computed properties:
Calculated volume   176 Å³/f.u.
Formation energy from raw total energies   -2414 meV per atom

=====

Entry 3:
BaLaTc2O8: relaxed, PBE-GGA.

POSCAR file:
```
BaLaTc2O8
1.0
-2.480 -3.946 3.786
5.540 -0.943 -2.116
2.991 3.946 6.073
O Tc Ba La
8 2 1 1
direct
0.167 0.334 0.711
0.833 0.167 0.289
0.334 0.167 0.289
0.833 0.666 0.289
0.666 0.833 0.711
0.667 0.333 0.987
0.167 0.833 0.711
0.333 0.667 0.013
0.333 0.667 0.786
0.667 0.333 0.214
0.000 0.000 0.000
0.000 0.000 0.500
```

Computed properties:
Calculated volume   245 Å³/f.u.
Formation energy from raw total energies   -2065 meV per atom

=====

Entry 4:
BaLaTeO6: relaxed, PBE-GGA.

POSCAR file:
```
BaLaTeO6
1.0
-0.965 3.046 5.000
-5.549 1.269 1.676
-0.224 -4.726 2.836
O Ba Te La
6 1 1 1
direct
0.342 0.057 0.700
0.601 0.342 0.700
0.601 0.057 0.300
0.342 0.601 0.300
0.057 0.601 0.700
0.057 0.342 0.300
0.000 0.000 0.000
0.333 0.333 0.500
0.667 0.667 0.500
```

Computed properties:
Calculated volume   168 Å³/f.u.
Formation energy from raw total energies   -2016 meV per atom

=====

Entry 5:
Ba2LaThO6: relaxed, PBE-GGA.

POSCAR file:
```
Ba2LaThO6
1.0
6.399 0.000 -0.021
0.000 6.469 0.000
0.026 0.000 9.090
O La Ba Th
12 2 4 2
direct
0.408 0.968 0.756
0.718 0.293 0.549
0.707 0.281 0.948
0.092 0.468 0.744
0.793 0.781 0.552
0.293 0.719 0.052
0.592 0.032 0.244
0.218 0.207 0.049
0.207 0.219 0.448
0.282 0.707 0.451
0.908 0.532 0.256
0.782 0.793 0.951
0.500 0.000 0.500
0.000 0.500 0.000
0.011 0.966 0.249
0.511 0.534 0.749
0.989 0.034 0.751
0.489 0.466 0.251
0.500 0.000 0.000
0.000 0.500 0.500
```

Computed properties:
Calculated volume   188 Å³/f.u.
Formation energy from raw total energies   -3014 meV per atom

=====

Entry 6:
BaLa2Ti3O10: relaxed, PBE-GGA.

POSCAR file:
```
BaLa2Ti3O10
1.0
-9.421 -8.567 6.853
11.911 5.653 -5.940
1.666 3.519 6.688
O Ti Ba La
20 6 2 4
direct
0.792 0.208 0.463
0.067 0.933 0.061
0.124 0.876 0.759
0.632 0.368 0.001
0.016 0.984 0.763
0.933 0.067 0.561
0.984 0.016 0.263
0.854 0.146 0.759
0.792 0.208 0.054
0.368 0.632 0.501
0.632 0.368 0.514
0.500 0.500 0.517
0.876 0.124 0.259
0.368 0.632 0.014
0.500 0.500 0.017
0.208 0.792 0.963
0.934 0.066 0.964
0.208 0.792 0.554
0.146 0.854 0.259
0.066 0.934 0.464
0.853 0.147 0.012
0.000 0.000 0.006
0.147 0.853 0.512
0.000 0.000 0.506
0.147 0.853 0.003
0.853 0.147 0.503
0.258 0.742 0.258
0.742 0.258 0.758
0.579 0.421 0.256
0.421 0.579 0.756
0.573 0.427 0.754
0.427 0.573 0.254
```

Computed properties:
Calculated volume   218 Å³/f.u.
Formation energy from raw total energies   -3259 meV per atom

=====

Entry 7:
Ba4LaTi3O12: relaxed, PBE-GGA.

POSCAR file:
```
Ba4LaTi3O12
1.0
-4.668 -3.615 -4.231
6.682 -2.701 -0.906
-1.979 -0.716 6.952
O Ti Ba La
12 3 4 1
direct
0.275 0.275 0.000
0.500 0.250 0.750
0.725 0.725 0.000
0.250 0.500 0.750
0.750 0.250 0.500
0.500 0.750 0.250
0.750 0.500 0.250
0.000 0.725 0.725
0.250 0.750 0.500
0.725 0.000 0.725
0.000 0.275 0.275
0.275 0.000 0.275
0.500 0.000 0.500
0.000 0.500 0.500
0.500 0.500 0.000
0.000 0.000 0.500
0.500 0.500 0.500
0.500 0.000 0.000
0.000 0.500 0.000
0.000 0.000 0.000
```

Computed properties:
Calculated volume   295 Å³/f.u.
Formation energy from raw total energies   -2916 meV per atom

=====

Entry 8:
BaLa4Ti4O15: relaxed, PBE-GGA.

POSCAR file:
```
BaLa4Ti4O15
1.0
5.630 0.000 0.000
-2.815 4.876 0.000
0.000 0.000 22.181
Ba O Ti La
2 30 8 8
direct
0.000 0.000 0.750
0.000 0.000 0.250
0.110 0.343 0.147
0.661 0.900 0.448
0.100 0.761 0.448
0.339 0.239 0.052
0.000 0.525 0.250
0.525 0.000 0.250
0.525 0.525 0.750
0.761 0.100 0.052
0.768 0.110 0.853
0.239 0.900 0.948
0.000 0.475 0.750
0.339 0.100 0.552
0.239 0.339 0.448
0.761 0.661 0.552
0.900 0.661 0.052
0.475 0.475 0.250
0.475 0.000 0.750
0.890 0.232 0.353
0.900 0.239 0.552
0.110 0.768 0.647
0.657 0.890 0.647
0.657 0.768 0.147
0.661 0.761 0.948
0.100 0.339 0.948
0.232 0.343 0.647
0.890 0.657 0.853
0.343 0.232 0.853
0.343 0.110 0.353
0.768 0.657 0.353
0.232 0.890 0.147
0.000 0.000 0.089
0.000 0.000 0.411
0.333 0.667 0.698
0.000 0.000 0.911
0.667 0.333 0.302
0.000 0.000 0.589
0.667 0.333 0.802
0.333 0.667 0.198
0.667 0.333 0.960
0.667 0.333 0.141
0.333 0.667 0.859
0.333 0.667 0.040
0.667 0.333 0.460
0.667 0.333 0.641
0.333 0.667 0.359
0.333 0.667 0.540
```

Computed properties:
Calculated volume   304 Å³/f.u.
Energy above the lowest structure with this stoichiometry   0.30 eV/f.u.
Formation energy from raw total energies   -3269 meV per atom

=====

| no. | total magnetic moment (μB/atom) |
| --- | --- |
| 1 | 0.115 |
| 2 | 0.200 |
| 3 | 0.250 |
| 4 | 0.120 |
| 5 | 0.105 |
| 6 | 0.000 |
| 7 | 0.044 |
| 8 | 0.000 |